This record from Alexandria describes a geometry-optimized TiMo2I structure. The functional is PBE-GGA.

```
8
Lattice="-2.2577 -2.3306 2.0164 1.4534 -3.0094 -1.8510 6.9751 -3.5570 7.3174" Properties=species:S:1:pos:R:3 pbc="T T T"
Ti -0.4021 -2.6700 0.0827
I 0.0000 0.0000 0.0000
Mo 4.9455 -4.7030 5.5299
Mo 0.5390 -2.6967 2.8363
I 2.1576 -4.2788 4.7083
Ti 4.0132 -4.6182 2.7745
Mo 2.3454 -3.0868 0.9465
Mo 4.5118 -7.3075 5.6529
```

## Properties
VASP energy ... -6.93 eV per atom
Formation energy from raw total energies ... 0.844 eV/atom
M_tot ... 0.00 μB per formula unit